LiThAg2 | the Alexandria database | PBE | optimized geometry; density = 8.1 g/cm³; energy relative to the elements = -22 meV/atom; SG = P4/mmm, No. 123; DOS(E_F) = 1.922 states/eV/cell; DFT total energy = -15.12 eV per cell; energy above the lowest structure with this stoichiometry = 0.362 eV/f.u.
1.0
5.260 0.000 0.000
0.000 5.260 0.000
0.000 0.000 3.349
Li Th Ag
1 1 2
Direct
0.000 0.000 0.000 Li
0.500 0.500 0.000 Th
0.000 0.500 0.500 Ag
0.500 0.000 0.500 Ag

---

YHf2N | the Alexandria database | PBE | optimized geometry; density = 7.9 g/cm³; SG = I-42d, No. 122; DOS(E_F) = 2.385 states/eV/cell; DFT total energy = -73.06 eV per cell; E_form (uncorrected) = -177 kJ/mol of formula units
1.0
-3.290 3.290 4.461
3.290 -3.290 4.461
3.290 3.290 -4.461
Y Hf N
2 4 2
Direct
0.000 0.000 0.000 Y
0.750 0.250 0.500 Y
0.304 0.125 0.679 Hf
0.375 0.696 0.821 Hf
0.446 0.625 0.321 Hf
0.875 0.554 0.179 Hf
0.250 0.750 0.500 N
0.500 0.500 0.000 N

---

AcSmRu | the Alexandria database | PBE | optimized geometry; density = 8.9 g/cm³; energy relative to the elements = -95 meV/atom; SG = I4mm, No. 107; DOS(E_F) = 2.239 states/eV/cell; DFT total energy = -18.39 eV per cell; energy above the lowest structure with this stoichiometry = 0.296 eV/f.u.
1.0
-1.796 1.796 6.955
1.796 -1.796 6.955
1.796 1.796 -6.955
Ac Sm Ru
1 1 1
Direct
0.000 0.000 0.000 Ac
0.249 0.249 0.000 Sm
0.635 0.635 0.000 Ru

---

Er2AlSi2Ir5 | the Alexandria database | PBE | optimized geometry; density = 14.1 g/cm³; SG = P4/mbm, No. 127; DOS(E_F) = 5.224 states/eV/cell; DFT total energy = -154.43 eV per cell; E_form (uncorrected) = -887 kJ/mol of formula units
1.0
9.619 0.000 0.000
0.000 9.619 0.000
0.000 0.000 3.500
Er Al Si Ir
4 2 4 10
Direct
0.175 0.325 0.000 Er
0.325 0.825 0.000 Er
0.675 0.175 0.000 Er
0.825 0.675 0.000 Er
0.000 0.000 0.000 Al
0.500 0.500 0.000 Al
0.125 0.625 0.000 Si
0.375 0.125 0.000 Si
0.625 0.875 0.000 Si
0.875 0.375 0.000 Si
0.000 0.500 0.500 Ir
0.067 0.791 0.500 Ir
0.209 0.067 0.500 Ir
0.291 0.567 0.500 Ir
0.433 0.291 0.500 Ir
0.500 0.000 0.500 Ir
0.567 0.709 0.500 Ir
0.709 0.433 0.500 Ir
0.791 0.933 0.500 Ir
0.933 0.209 0.500 Ir

---

Q: The lowest DOS(E_F) belongs to which entry?
A: LiThAg2

---

Q: Which value of DFT total energy does entry 1 give?
A: -15.12 eV per cell

---

Q: What is the density in the first record?
A: 8.1 g/cm³

---

Q: Number 3 is which compound?
A: AcSmRu